Entry 1:
## PrEuAgBi (PBE)

Data for a relaxed structure of PrEuAgBi.

a = 5.521 Å, b = 5.521 Å, c = 5.521 Å
α = 60.00°, β = 60.00°, γ = 60.00°
Last column: magnetic moment on the atom in μB.
Element x y z (fractional)
Eu1 0.250 0.250 0.250  6.94
Ag1 0.500 0.500 0.500  0.02
Bi1 0.000 0.000 0.000  -0.08
Pr1 0.750 0.750 0.750  0.31

- total magnetic moment (μB per cell) = 7.98
- final energy (eV/cell) = -23.94
- formation energy (eV/f.u.) = -2.2
- calculated density (Mg/m³) = 8.5
- DOS(E_F) (states/eV per cell) = 2.7


Entry 2:
## Hg2BiF11 (PBE)

Data for a relaxed structure of Hg2BiF11.

a = 8.343 Å, b = 8.582 Å, c = 8.582 Å
α = 76.72°, β = 60.92°, γ = 60.92°
Element x y z (fractional)
Hg1 0.723 0.717 0.283
F1 0.654 0.708 0.575
F2 0.056 0.155 0.845
F3 0.000 0.000 0.000
F4 0.444 0.655 0.345
F5 0.063 0.575 0.708
F6 0.556 0.345 0.655
F7 0.557 0.017 0.702
F8 0.944 0.845 0.155
F9 0.500 0.500 0.500
F10 0.437 0.792 0.925
Hg2 0.277 0.283 0.717
F11 0.563 0.208 0.075
F12 0.057 0.202 0.517
Hg3 0.223 0.783 0.217
Bi1 0.750 0.750 0.750
F13 0.776 0.483 0.798
F14 0.154 0.075 0.208
Hg4 0.777 0.217 0.783
F15 0.724 0.702 0.017
F16 0.846 0.925 0.792
F17 0.443 0.983 0.298
F18 0.943 0.798 0.483
Bi2 0.250 0.250 0.250
F19 0.276 0.298 0.983
F20 0.346 0.292 0.425
F21 0.224 0.517 0.202
F22 0.937 0.425 0.292

- total magnetic moment (μB per cell) = 0.00
- final energy (eV/cell) = -87.60
- calculated density (Mg/m³) = 5.8
- formation energy without anion corrections (meV per atom) = -1338


Entry 3:
## Ho8Zn2In (PBE)

Data for a relaxed structure of Ho8Zn2In.

a = 5.358 Å, b = 8.212 Å, c = 8.212 Å
α = 115.72°, β = 99.83°, γ = 99.83°
Element x y z (fractional)
Ho1 0.696 0.395 0.395
Ho2 0.901 0.672 0.915
In1 0.500 0.000 0.000
Ho3 0.099 0.085 0.328
Zn1 0.000 0.693 0.307
Ho4 0.304 0.605 0.605
Ho5 0.500 0.768 0.232
Zn2 0.000 0.307 0.693
Ho6 0.901 0.915 0.672
Ho7 0.500 0.232 0.768
Ho8 0.099 0.328 0.085

- total magnetic moment (μB per cell) = 0.00
- final energy (eV/cell) = -42.99
- formation energy (eV/f.u.) = -1.1
- calculated density (Mg/m³) = 8.4
- DOS(E_F) (states/eV per cell) = 15.4
- polymorph energy (0 for the lowest one) (meV/atom) = 107


Entry 4:
## Li2NdAlPt4 (PBE)

Data for a relaxed structure of Li2NdAlPt4.

a = 4.316 Å, b = 4.316 Å, c = 8.664 Å
α = 75.58°, β = 75.58°, γ = 60.00°
Element x y z (fractional)
Pt1 0.400 0.400 0.800
Al1 0.500 0.500 0.500
Nd1 0.000 0.000 0.000
Pt2 0.600 0.600 0.200
Pt3 0.868 0.868 0.397
Pt4 0.132 0.132 0.603
Li1 0.761 0.761 0.717
Li2 0.239 0.239 0.283

- total magnetic moment (μB per cell) = 0.00
- final energy (eV/cell) = -43.16
- formation energy (eV/f.u.) = -6.7
- calculated density (Mg/m³) = 12.0
- DOS(E_F) (states/eV per cell) = 3.6


Entry 5:
## MnZnPtAu (PBE)

Data for a relaxed structure of MnZnPtAu.

a = 4.443 Å, b = 4.443 Å, c = 4.443 Å
α = 60.00°, β = 60.00°, γ = 60.00°
Last column: magnetic moment on the atom in μB.
Element x y z (fractional)
Mn1 0.750 0.750 0.750  3.74
Zn1 0.250 0.250 0.250  -0.03
Au1 0.500 0.500 0.500  0.01
Pt1 0.000 0.000 0.000  0.09

- total magnetic moment (μB per cell) = 3.91
- final energy (eV/cell) = -20.88
- formation energy (eV/f.u.) = -1.1
- calculated density (Mg/m³) = 13.7
- DOS(E_F) (states/eV per cell) = 1.8
- polymorph energy (0 for the lowest one) (meV/atom) = 22


Entry 6:
## SrPb (PBE)

Data for a relaxed structure of SrPb.

a = 12.824 Å, b = 12.824 Å, c = 3.974 Å
α = 90.00°, β = 90.00°, γ = 90.00°
Element x y z (fractional)
Pb1 0.659 0.428 0.500
Pb2 0.928 0.841 0.000
Sr1 0.840 0.627 0.500
Sr2 0.127 0.660 0.000
Pb3 0.428 0.341 0.500
Pb4 0.341 0.572 0.500
Pb5 0.159 0.928 0.000
Sr3 0.340 0.127 0.000
Sr4 0.627 0.160 0.500
Pb6 0.072 0.159 0.000
Sr5 0.160 0.373 0.500
Sr6 0.660 0.873 0.000
Sr7 0.873 0.340 0.000
Pb7 0.841 0.072 0.000
Sr8 0.373 0.840 0.500
Pb8 0.572 0.659 0.500

- total magnetic moment (μB per cell) = 0.00
- final energy (eV/cell) = -45.87
- formation energy (eV/f.u.) = -0.3
- calculated density (Mg/m³) = 6.0
- DOS(E_F) (states/eV per cell) = 11.3